Entry 1:
## Er7PS5 (PBE-GGA)

Data for a relaxed structure of Er7PS5.

abc: 12.651 3.807 23.130
angles: 90.00 92.03 90.00
Space group C2/m (No. 12)
Unique sites:
Er (0.037, 0.000, 0.253) (multiplicity 4)
Er (0.077, 0.500, 0.393) (multiplicity 4)
Er (0.098, 0.500, 0.116) (multiplicity 4)
Er (0.134, 0.000, 0.963) (multiplicity 4)
Er (0.143, 0.000, 0.537) (multiplicity 4)
Er (0.185, 0.500, 0.822) (multiplicity 4)
Er (0.204, 0.500, 0.681) (multiplicity 4)
P (0.193, 0.500, 0.232) (multiplicity 4)
S (0.000, 0.500, 0.000) (multiplicity 2)
S (0.000, 0.500, 0.500) (multiplicity 2)
S (0.043, 0.000, 0.856) (multiplicity 4)
S (0.063, 0.000, 0.644) (multiplicity 4)
S (0.220, 0.000, 0.428) (multiplicity 4)
S (0.227, 0.000, 0.071) (multiplicity 4)

Calculated values
formation energy (no corrections)	-2175	kJ/mol of formula units
uncorrected energy	-0.228	hartree per atom



Entry 2:
## MgTeH3 (PBE-GGA)

Data for a relaxed structure of MgTeH3.

abc: 4.180 4.180 4.180
angles: 90.00 90.00 90.00
Space group Pm-3m (No. 221)
Unique sites:
Mg (0.000, 0.000, 0.000) (multiplicity 1)
Te (0.500, 0.500, 0.500) (multiplicity 1)
H (0.000, 0.500, 0.500) (multiplicity 3)

Calculated values
ΔE to the lowest computed polymorph	153	meV per atom
uncorrected energy	-0.086	hartree per atom



Entry 3:
## La4B3AsRh12 (PBE-GGA)

Data for a relaxed structure of La4B3AsRh12.

abc: 8.748 8.748 8.748
angles: 90.00 90.00 90.00
Space group Im-3m (No. 229)
Unique sites:
La (0.250, 0.250, 0.250) (multiplicity 8)
B (0.000, 0.000, 0.500) (multiplicity 6)
As (0.000, 0.000, 0.000) (multiplicity 2)
Rh (0.000, 0.000, 0.269) (multiplicity 12)
Rh (0.000, 0.250, 0.500) (multiplicity 12)

Calculated values
uncorrected energy	-0.268	hartree per atom
E_form	-667.4	meV/atom



Entry 4:
## BaNiP2 (PBE-GGA)

Data for a relaxed structure of BaNiP2.

abc: 3.388 3.388 6.703
angles: 90.00 90.00 90.00
Space group P4/mmm (No. 123)
Unique sites:
Ba (0.000, 0.000, 0.000) (multiplicity 1)
Ni (0.000, 0.000, 0.500) (multiplicity 1)
P (0.500, 0.500, 0.342) (multiplicity 2)

Calculated values
uncorrected energy	-0.176	hartree per atom
E_form	-158.8	meV/atom



Number 1: size of the total moment 0.00 Bohr magnetons per cell, D(E_F) 5.51 states/eV/f.u.. Number 2: size of the total moment 0.00 Bohr magnetons per cell, D(E_F) 1.38 states/eV/f.u.. Number 3: size of the total moment 0.00 Bohr magnetons per cell, D(E_F) 18.42 states/eV/f.u.. Number 4: size of the total moment 0.00 Bohr magnetons per cell, D(E_F) 2.96 states/eV/f.u..